VZn2Pd9 | PBE | relaxed

Properties
D(E_F) ... 14.3 states/eV/f.u.
Formation energy from the elements ... -0.305 eV/atom

Unit cell a=3.893 b=3.893 c=11.795 alpha=90.00 beta=90.00 gamma=90.00
Positions (direct):
Pd  0.000  0.500  0.500
Pd  0.500  0.500  0.671
Pd  0.000  0.500  0.161
Pd  0.500  0.500  0.000
Pd  0.500  0.500  0.329
Pd  0.500  0.000  0.161
Pd  0.000  0.500  0.839
Pd  0.500  0.000  0.500
Pd  0.500  0.000  0.839
V  0.000  0.000  0.000
Zn  0.000  0.000  0.664
Zn  0.000  0.000  0.336

VZnPd4 | PBE | relaxed

Properties
D(E_F) ... 3.9 states/eV/f.u.
Formation energy from the elements ... -0.084 eV/atom
Polymorph energy (0 for the lowest one) ... 0.2328 eV per atom

Unit cell a=4.132 b=4.131 c=7.205 alpha=73.30 beta=73.34 gamma=60.00
Last column: magnetic moment on the atom in μB.
Positions (direct):
Pd  0.125  0.125  0.624  0.00
Pd  0.378  0.378  0.867  0.01
Pd  0.875  0.875  0.376  0.00
Pd  0.622  0.622  0.133  0.01
Zn  0.000  0.000  0.000  0.00
V  0.500  0.500  0.500  0.44

V2ZnPd | PBE | relaxed

Properties
D(E_F) ... 4.3 states/eV/f.u.
Formation energy from the elements ... 0.362 eV/atom

Unit cell a=7.049 b=7.049 c=5.556 alpha=50.63 beta=50.63 gamma=90.00
Positions (direct):
Zn  0.500  0.500  0.000
Zn  0.250  0.750  0.500
V  0.875  0.885  0.750
V  0.375  0.365  0.750
V  0.115  0.625  0.250
V  0.635  0.125  0.250
Pd  0.750  0.250  0.500
Pd  0.000  0.000  0.000

VZn2Pd6 | PBE | relaxed

Properties
D(E_F) ... 3.8 states/eV/f.u.
Formation energy from the elements ... -0.153 eV/atom

Unit cell a=4.094 b=5.909 c=7.189 alpha=114.27 beta=106.58 gamma=90.00
Positions (direct):
Pd  0.500  0.749  0.000
Pd  0.838  0.592  0.675
Pd  0.162  0.916  0.325
Pd  0.500  0.251  0.000
Pd  0.838  0.084  0.675
Pd  0.162  0.408  0.325
V  0.000  0.000  0.000
Zn  0.331  0.330  0.661
Zn  0.669  0.670  0.339

VZn2Pd8 | PBE | relaxed

Properties
D(E_F) ... 7.9 states/eV/f.u.
Formation energy from the elements ... -0.305 eV/atom

Unit cell a=3.994 b=6.175 c=7.225 alpha=106.26 beta=106.05 gamma=90.00
Last column: magnetic moment on the atom in μB.
Positions (direct):
Pd  0.860  0.812  0.721  0.00
Pd  0.403  0.547  0.806  0.02
Pd  0.597  0.453  0.194  0.02
Pd  0.321  0.080  0.642  -0.01
Pd  0.957  0.268  0.915  -0.02
Pd  0.679  0.920  0.358  -0.01
Pd  0.043  0.732  0.085  -0.02
Pd  0.140  0.188  0.279  0.00
Zn  0.778  0.355  0.556  0.01
Zn  0.222  0.645  0.444  0.01
V  0.500  0.000  0.000  1.06

V2ZnPd9 | PBE | relaxed

Properties
D(E_F) ... 8.0 states/eV/f.u.
Formation energy from the elements ... -0.290 eV/atom

Unit cell a=3.892 b=3.892 c=11.736 alpha=90.00 beta=90.00 gamma=90.00
Last column: magnetic moment on the atom in μB.
Positions (direct):
V  0.000  0.000  0.673  0.55
V  0.000  0.000  0.327  0.55
Pd  0.000  0.500  0.173  -0.04
Pd  0.500  0.000  0.173  -0.04
Pd  0.000  0.500  0.500  -0.04
Pd  0.500  0.000  0.827  -0.04
Pd  0.500  0.000  0.500  -0.04
Pd  0.500  0.500  0.663  -0.05
Pd  0.500  0.500  0.000  -0.04
Pd  0.000  0.500  0.827  -0.04
Pd  0.500  0.500  0.337  -0.05
Zn  0.000  0.000  0.000  -0.01

Q: What is the formula in the sixth record?
A: V2ZnPd9

Please write out number 5 again, unchanged.
VZn2Pd8 | PBE | relaxed

Properties
D(E_F) ... 7.9 states/eV/f.u.
Formation energy from the elements ... -0.305 eV/atom

Unit cell a=3.994 b=6.175 c=7.225 alpha=106.26 beta=106.05 gamma=90.00
Last column: magnetic moment on the atom in μB.
Positions (direct):
Pd  0.860  0.812  0.721  0.00
Pd  0.403  0.547  0.806  0.02
Pd  0.597  0.453  0.194  0.02
Pd  0.321  0.080  0.642  -0.01
Pd  0.957  0.268  0.915  -0.02
Pd  0.679  0.920  0.358  -0.01
Pd  0.043  0.732  0.085  -0.02
Pd  0.140  0.188  0.279  0.00
Zn  0.778  0.355  0.556  0.01
Zn  0.222  0.645  0.444  0.01
V  0.500  0.000  0.000  1.06

Q: What is the D(E_F) in the third record?
A: 4.3 states/eV/f.u.

Copy entry 5 word for word.
VZn2Pd8 | PBE | relaxed

Properties
D(E_F) ... 7.9 states/eV/f.u.
Formation energy from the elements ... -0.305 eV/atom

Unit cell a=3.994 b=6.175 c=7.225 alpha=106.26 beta=106.05 gamma=90.00
Last column: magnetic moment on the atom in μB.
Positions (direct):
Pd  0.860  0.812  0.721  0.00
Pd  0.403  0.547  0.806  0.02
Pd  0.597  0.453  0.194  0.02
Pd  0.321  0.080  0.642  -0.01
Pd  0.957  0.268  0.915  -0.02
Pd  0.679  0.920  0.358  -0.01
Pd  0.043  0.732  0.085  -0.02
Pd  0.140  0.188  0.279  0.00
Zn  0.778  0.355  0.556  0.01
Zn  0.222  0.645  0.444  0.01
V  0.500  0.000  0.000  1.06